Here is a relaxed PmUCSe2 crystal from Alexandria. Energies are from PBE-GGA.

```
PmUCSe2
1.0
3.950 0.000 0.000
0.000 3.950 0.000
0.000 0.000 14.893
Pm U C Se
2 2 2 4
Cartesian
0.988 0.988 1.937 Pm
2.963 2.963 12.956 Pm
0.988 0.988 8.604 U
2.963 2.963 6.289 U
0.988 2.963 7.447 C
2.963 0.988 7.447 C
0.988 0.988 4.769 Se
0.988 0.988 13.601 Se
2.963 2.963 1.292 Se
2.963 2.963 10.124 Se
```

Calculated values
Space group   P4/nmm, No. 129
VASP energy   -7.531 eV/atom
Calculated density   7.90 g cm⁻³